The following is a DFT calculation (PBE with a Hubbard U) of a relaxed structure of HgMoPO2.

Geometry as POSCAR:
```
HgMoPO2
1.0
-3.537 1.566 1.478
-1.638 -0.113 -3.802
-1.710 -4.691 0.876
O Mo P Hg
2 1 1 1
Cartesian
-0.819 -0.056 -1.901
-1.769 0.783 0.739
-3.443 -1.619 -0.724
-0.855 -2.346 0.438
0.000 0.000 0.000
```

Values from the calculation:
As for the polymorph energy (0 for the lowest one): 1.445 eV per atom. The density of states at the Fermi level is 3.355 states/eV/cell. As for the volume: 17.388 A^3/atom. For the total energy, the calculation gives -18.8 eV/f.u.